(1)
{
  "formula": "CsNa4Pt",
  "functional": "PBE-GGA",
  "state": "relaxed",
  "lattice_angstrom": [[5.3307, -0.0036, -1.3289], [-0.7112, 7.8301, -2.8741], [0.2121, 0.0813, 12.3602]],
  "species": ["Cs", "Cs", "Na", "Na", "Na", "Na", "Na", "Na", "Na", "Na", "Pt", "Pt"],
  "frac_coords": [[0.2138, 0.2133, 0.4266], [0.7862, 0.7867, 0.5734], [0.8829, 0.3844, 0.7688], [0.5826, 0.3540, 0.1624], [0.0000, 0.1954, 0.0000], [0.4174, 0.1915, 0.8376], [0.1171, 0.6156, 0.2312], [0.4174, 0.6460, 0.8376], [0.0000, 0.8046, 0.0000], [0.5826, 0.8085, 0.1624], [0.7479, 0.5000, 0.9999], [0.2521, 0.5000, 0.0001]],
  "sg": "C2/m (12)",
  "ef_ev_per_atom": -0.069
}



(2)
{
  "formula": "Cs3NaZn2Cl8",
  "functional": "PBE-GGA",
  "state": "relaxed",
  "lattice_angstrom": [[-0.5148, 0.3991, 7.4514], [-4.0290, -5.0561, -3.7618], [7.2264, -6.3843, 0.8412]],
  "species": ["Cs", "Cs", "Cs", "Na", "Zn", "Zn", "Cl", "Cl", "Cl", "Cl", "Cl", "Cl", "Cl", "Cl"],
  "frac_coords": [[0.3333, 0.6667, 0.6412], [0.6667, 0.3333, 0.3588], [0.0000, 0.0000, 0.0000], [0.0000, 0.0000, 0.5000], [0.3333, 0.6667, 0.2245], [0.6667, 0.3333, 0.7755], [0.3333, 0.6667, 0.9936], [0.6667, 0.3333, 0.0064], [0.1693, 0.8307, 0.3175], [0.8307, 0.1693, 0.6825], [0.1693, 0.3386, 0.3175], [0.8307, 0.6614, 0.6825], [0.6614, 0.8307, 0.3175], [0.3386, 0.1693, 0.6825]],
  "sg": "P-3m1 (164)"
}



(3)
{
  "formula": "In2Ag3Au6",
  "functional": "PBE-GGA",
  "state": "relaxed",
  "lattice_angstrom": [[-2.2636, 0.2376, 2.3566], [4.1753, -5.6526, 4.5804], [5.3968, 4.3240, 4.7479]],
  "species": ["In", "In", "Ag", "Ag", "Ag", "Au", "Au", "Au", "Au", "Au", "Au"],
  "frac_coords": [[0.0000, 0.3300, 0.6700], [0.0000, 0.6700, 0.3300], [0.0000, 0.1869, 0.1869], [0.0000, 0.8131, 0.8131], [0.5000, 0.0000, 0.0000], [0.5000, 0.3631, 0.3631], [0.5000, 0.6369, 0.6369], [0.5000, 0.9298, 0.3677], [0.5000, 0.0702, 0.6323], [0.5000, 0.3677, 0.9298], [0.5000, 0.6323, 0.0702]],
  "sg": "Cmmm (65)",
  "ef_ev_per_atom": 0.003
}



(4)
{
  "formula": "Fe3CuNi5",
  "functional": "PBE-GGA",
  "state": "relaxed",
  "lattice_angstrom": [[4.8758, 0.0000, 0.0000], [0.0000, 6.0690, -3.5039], [0.0000, 0.0000, 7.0079]],
  "species": ["Fe", "Fe", "Fe", "Fe", "Fe", "Fe", "Cu", "Cu", "Ni", "Ni", "Ni", "Ni", "Ni", "Ni", "Ni", "Ni", "Ni", "Ni"],
  "frac_coords": [[0.7500, 0.3345, 0.0000], [0.7500, 0.6655, 0.6655], [0.7500, 0.0000, 0.3345], [0.2500, 0.6655, 0.0000], [0.2500, 0.3345, 0.3345], [0.2500, 0.0000, 0.6655], [0.0000, 0.0000, 0.0000], [0.5000, 0.0000, 0.0000], [0.0000, 0.3333, 0.6667], [0.5000, 0.6667, 0.3333], [0.0000, 0.6667, 0.3333], [0.5000, 0.3333, 0.6667], [0.7500, 0.6643, 0.0000], [0.7500, 0.3357, 0.3357], [0.7500, 0.0000, 0.6643], [0.2500, 0.3357, 0.0000], [0.2500, 0.6643, 0.6643], [0.2500, 0.0000, 0.3357]],
  "sg": "P6_3/mcm (193)",
  "ef_ev_per_atom": 0.043
}



| no. | DOS(E_F) (states/eV/atom) | total DFT energy (no corrections) (eV/cell) | V (A^3/atom) |
| --- | --- | --- | --- |
| 1 | 0.432 | -25.17 | 43.28 |
| 2 | 0.000 | -44.39 | 33.50 |
| 3 | 0.352 | -33.66 | 20.11 |
| 4 | 0.837 | -116.01 | 11.52 |